Entry 1:
Li2SF6 | PBE | relaxed

Geometry as CIF:
```
data_Li2SF6
_chemical_formula_sum 'Li4 S2 F12'
_symmetry_space_group_name_H-M 'P 1'
_symmetry_Int_Tables_number 1
_symmetry_space_group_name_Hall 'P 1'
_cell_length_a 4.6890
_cell_length_b 4.6890
_cell_length_c 9.0447
_cell_angle_alpha 90.00
_cell_angle_beta 90.00
_cell_angle_gamma 90.00
loop_
_atom_site_label
_atom_site_fract_x
_atom_site_fract_y
_atom_site_fract_z
_atom_site_occupancy
Li1 0.0000 0.0000 0.3366 1
Li2 0.5000 0.5000 0.8366 1
Li3 0.5000 0.5000 0.1634 1
Li4 0.0000 0.0000 0.6634 1
S1 0.0000 0.0000 0.0000 1
S2 0.5000 0.5000 0.5000 1
F1 0.3102 0.3102 0.3466 1
F2 0.6898 0.6898 0.3466 1
F3 0.1898 0.8102 0.8466 1
F4 0.8102 0.1898 0.8466 1
F5 0.1898 0.8102 0.1534 1
F6 0.8102 0.1898 0.1534 1
F7 0.3102 0.3102 0.6534 1
F8 0.6898 0.6898 0.6534 1
F9 0.2834 0.2834 0.0000 1
F10 0.7166 0.7166 0.0000 1
F11 0.2166 0.7834 0.5000 1
F12 0.7834 0.2166 0.5000 1
```

Properties
* raw formation energy: -2.081 eV per atom
* D(E_F): 0.000 states/eV per atom
* crystal system: tetragonal
* calculated density: 2.7 Mg/m³

Entry 2:
Li4SF2 | PBE | relaxed

Geometry as CIF:
```
data_Li4SF2
_chemical_formula_sum 'Li8 S2 F4'
_symmetry_space_group_name_H-M 'P 1'
_symmetry_Int_Tables_number 1
_symmetry_space_group_name_Hall 'P 1'
_cell_length_a 3.3887
_cell_length_b 5.3027
_cell_length_c 9.7644
_cell_angle_alpha 90.00
_cell_angle_beta 90.00
_cell_angle_gamma 108.63
loop_
_atom_site_label
_atom_site_fract_x
_atom_site_fract_y
_atom_site_fract_z
_atom_site_occupancy
Li1 0.7884 0.5768 0.1102 1
Li2 0.7884 0.5768 0.3898 1
Li3 0.2116 0.4232 0.8898 1
Li4 0.2116 0.4232 0.6102 1
Li5 0.9389 0.8778 0.7500 1
Li6 0.0611 0.1222 0.2500 1
Li7 0.5000 0.0000 0.0000 1
Li8 0.5000 0.0000 0.5000 1
S1 0.6027 0.2055 0.7500 1
S2 0.3973 0.7945 0.2500 1
F1 0.1351 0.2701 0.4353 1
F2 0.8649 0.7299 0.9353 1
F3 0.1351 0.2701 0.0647 1
F4 0.8649 0.7299 0.5647 1
```

Properties
* raw formation energy: -2.119 eV per atom
* ΔE to the lowest computed polymorph: 0.0000 eV per atom
* D(E_F): 0.000 states/eV per atom
* crystal system: orthorhombic
* calculated density: 2.0 Mg/m³

Entry 3:
Li2S2F | PBE | relaxed

Geometry as CIF:
```
data_Li2S2F
_chemical_formula_sum 'Li2 S2 F1'
_symmetry_space_group_name_H-M 'P 1'
_symmetry_Int_Tables_number 1
_symmetry_space_group_name_Hall 'P 1'
_cell_length_a 3.4582
_cell_length_b 3.4582
_cell_length_c 7.0313
_cell_angle_alpha 75.76
_cell_angle_beta 75.76
_cell_angle_gamma 90.00
loop_
_atom_site_label
_atom_site_fract_x
_atom_site_fract_y
_atom_site_fract_z
_atom_site_occupancy
S1 0.7500 0.2500 0.5000 1
S2 0.2500 0.7500 0.5000 1
Li1 0.3970 0.3970 0.2059 1
Li2 0.6030 0.6030 0.7941 1
F1 0.0000 0.0000 0.0000 1
```

Properties
* raw formation energy: -1.038 eV per atom
* ΔE to the lowest computed polymorph: 0.0000 eV per atom
* D(E_F): 0.151 states/eV per atom
* crystal system: tetragonal
* calculated density: 2.0 Mg/m³

Entry 4:
LiSF | PBE | relaxed

Geometry as CIF:
```
data_LiSF
_chemical_formula_sum 'Li2 S2 F2'
_symmetry_space_group_name_H-M 'P 1'
_symmetry_Int_Tables_number 1
_symmetry_space_group_name_Hall 'P 1'
_cell_length_a 3.4170
_cell_length_b 4.3853
_cell_length_c 7.8468
_cell_angle_alpha 106.21
_cell_angle_beta 102.58
_cell_angle_gamma 90.00
loop_
_atom_site_label
_atom_site_fract_x
_atom_site_fract_y
_atom_site_fract_z
_atom_site_occupancy
Li1 0.2341 0.7348 0.4683 1
Li2 0.7659 0.2652 0.5317 1
S1 0.5000 0.7842 0.0000 1
S2 0.5000 0.2158 0.0000 1
F1 0.7781 0.7783 0.5562 1
F2 0.2219 0.2217 0.4438 1
```

Properties
* raw formation energy: -1.669 eV per atom
* D(E_F): 0.081 states/eV per atom
* crystal system: monoclinic
* calculated density: 1.8 Mg/m³

Entry 5:
LiSF2 | PBE | relaxed

Geometry as CIF:
```
data_LiSF2
_chemical_formula_sum 'Li2 S2 F4'
_symmetry_space_group_name_H-M 'P 1'
_symmetry_Int_Tables_number 1
_symmetry_space_group_name_Hall 'P 1'
_cell_length_a 5.1919
_cell_length_b 5.1919
_cell_length_c 5.3496
_cell_angle_alpha 60.97
_cell_angle_beta 60.97
_cell_angle_gamma 90.00
loop_
_atom_site_label
_atom_site_fract_x
_atom_site_fract_y
_atom_site_fract_z
_atom_site_occupancy
S1 0.0000 0.0000 0.0000 1
S2 0.7500 0.2500 0.5000 1
Li1 0.5000 0.5000 0.0000 1
Li2 0.2500 0.7500 0.5000 1
F1 0.5407 0.1250 0.2500 1
F2 0.2093 0.6250 0.2500 1
F3 0.3750 0.4593 0.7500 1
F4 0.8750 0.7907 0.7500 1
```

Properties
* raw formation energy: -1.078 eV per atom
* ΔE to the lowest computed polymorph: 0.5479 eV per atom
* D(E_F): 0.647 states/eV per atom
* crystal system: tetragonal
* calculated density: 2.4 Mg/m³

Entry 6:
SrLiS2F | PBE | relaxed

Geometry as CIF:
```
data_SrLiS2F
_chemical_formula_sum 'Sr1 Li1 S2 F1'
_symmetry_space_group_name_H-M 'P 1'
_symmetry_Int_Tables_number 1
_symmetry_space_group_name_Hall 'P 1'
_cell_length_a 5.8291
_cell_length_b 4.5454
_cell_length_c 5.8291
_cell_angle_alpha 90.00
_cell_angle_beta 90.00
_cell_angle_gamma 90.00
loop_
_atom_site_label
_atom_site_fract_x
_atom_site_fract_y
_atom_site_fract_z
_atom_site_occupancy
Sr1 0.0000 0.0000 0.0000 1
S1 0.0000 0.0000 0.5000 1
S2 0.5000 0.0000 0.0000 1
Li1 0.5000 0.5000 0.5000 1
F1 0.0000 0.5000 0.0000 1
```

Properties
* raw formation energy: -1.073 eV per atom
* D(E_F): 0.785 states/eV per atom
* crystal system: tetragonal
* calculated density: 1.9 Mg/m³